[1]
A geometry-optimized KRbSb3 structure, computed with PBE.

a = 6.207 Å, b = 6.207 Å, c = 6.207 Å
α = 90.00°, β = 90.00°, γ = 90.00°
Element x y z (fractional)
Sb  0.000  0.000  0.500
Sb  0.000  0.500  0.000
Sb  0.500  0.000  0.000
Rb  0.000  0.000  0.000
K  0.500  0.500  0.500

Energy relative to the lowest polymorph listed for this composition, eV per formula unit: 4.820

---

[2]
A geometry-optimized KRbSb2 structure, computed with PBE.

a = 10.077 Å, b = 10.077 Å, c = 7.764 Å
α = 49.54°, β = 49.54°, γ = 90.00°
Element x y z (fractional)
Sb  0.875  0.866  0.750
Sb  0.134  0.625  0.250
Sb  0.616  0.125  0.250
Sb  0.375  0.384  0.750
K  0.250  0.750  0.500
K  0.500  0.500  0.000
Rb  0.750  0.250  0.500
Rb  0.000  0.000  0.000

---

[3]
A geometry-optimized KRb2Sb2 structure, computed with PBE.

a = 9.743 Å, b = 9.743 Å, c = 4.612 Å
α = 90.00°, β = 90.00°, γ = 90.00°
Element x y z (fractional)
Sb  0.896  0.396  0.500
Sb  0.604  0.896  0.500
Sb  0.396  0.104  0.500
Sb  0.104  0.604  0.500
Rb  0.320  0.820  0.000
Rb  0.680  0.180  0.000
Rb  0.180  0.320  0.000
Rb  0.820  0.680  0.000
K  0.500  0.500  0.000
K  0.000  0.000  0.000

Energy relative to the lowest polymorph listed for this composition, eV per formula unit: 0.766

---

[4]
A geometry-optimized KRbSb structure, computed with PBE.

a = 5.940 Å, b = 5.943 Å, c = 8.010 Å
α = 90.01°, β = 90.00°, γ = 119.98°
Element x y z (fractional)
Rb  0.333  0.667  0.909
Rb  0.667  0.333  0.091
K  0.667  0.333  0.558
K  0.333  0.667  0.442
Sb  0.000  0.000  0.690
Sb  0.000  0.000  0.310

Energy relative to the lowest polymorph listed for this composition, eV per formula unit: 0.082

---

[5]
A geometry-optimized K2Rb2Sb structure, computed with PBE.

a = 6.599 Å, b = 8.323 Å, c = 10.589 Å
α = 90.00°, β = 90.00°, γ = 90.00°
Element x y z (fractional)
K  0.000  0.140  0.320
K  0.000  0.860  0.680
K  0.000  0.360  0.820
K  0.000  0.640  0.180
Rb  0.500  0.709  0.417
Rb  0.500  0.291  0.583
Rb  0.500  0.791  0.917
Rb  0.500  0.209  0.083
Sb  0.000  0.500  0.500
Sb  0.000  0.000  0.000

Energy relative to the lowest polymorph listed for this composition, eV per formula unit: 0.000

---

[6]
A geometry-optimized KRb5Sb2 structure, computed with PBE.

a = 6.556 Å, b = 6.556 Å, c = 23.402 Å
α = 90.00°, β = 90.00°, γ = 120.00°
Element x y z (fractional)
Sb  0.333  0.667  0.109
Sb  0.667  0.333  0.609
Sb  0.667  0.333  0.891
Sb  0.333  0.667  0.391
Rb  0.000  0.000  0.383
Rb  0.000  0.000  0.617
Rb  0.333  0.667  0.551
Rb  0.333  0.667  0.750
Rb  0.000  0.000  0.117
Rb  0.000  0.000  0.883
Rb  0.667  0.333  0.449
Rb  0.667  0.333  0.250
Rb  0.667  0.333  0.051
Rb  0.333  0.667  0.949
K  0.333  0.667  0.250
K  0.667  0.333  0.750

---

[7]
A geometry-optimized KRb2Sb structure, computed with PBE.

a = 5.733 Å, b = 5.623 Å, c = 5.623 Å
α = 90.00°, β = 90.00°, γ = 90.00°
Element x y z (fractional)
K  0.500  0.000  0.000
Sb  0.500  0.500  0.500
Rb  0.000  0.000  0.500
Rb  0.000  0.500  0.000

---

[8]
A geometry-optimized KRbSb3 structure, computed with PBE.

a = 6.059 Å, b = 6.059 Å, c = 6.059 Å
α = 90.00°, β = 90.00°, γ = 90.00°
Element x y z (fractional)
Rb  0.500  0.500  0.500
Sb  0.500  0.000  0.000
Sb  0.000  0.500  0.000
Sb  0.000  0.000  0.500
K  0.000  0.000  0.000

Energy relative to the lowest polymorph listed for this composition, eV per formula unit: 3.947

---

[9]
A geometry-optimized KRb2Sb2 structure, computed with PBE.

a = 7.087 Å, b = 7.380 Å, c = 10.365 Å
α = 101.98°, β = 90.00°, γ = 118.70°
Element x y z (fractional)
K  0.133  0.000  0.750
K  0.867  0.000  0.250
Sb  0.015  0.697  0.999
Sb  0.985  0.303  0.001
Sb  0.683  0.697  0.499
Sb  0.317  0.303  0.501
Rb  0.493  0.305  0.149
Rb  0.811  0.305  0.649
Rb  0.189  0.695  0.351
Rb  0.507  0.695  0.851

Energy relative to the lowest polymorph listed for this composition, eV per formula unit: 0.000

---

[10]
A geometry-optimized KRbSb structure, computed with PBE.

a = 6.193 Å, b = 6.204 Å, c = 8.759 Å
α = 69.32°, β = 69.30°, γ = 60.06°
Element x y z (fractional)
K  0.706  0.708  0.881
K  0.294  0.292  0.119
Rb  0.866  0.864  0.405
Rb  0.134  0.136  0.595
Sb  0.437  0.439  0.687
Sb  0.563  0.561  0.313

Energy relative to the lowest polymorph listed for this composition, eV per formula unit: 0.000

---

[11]
A geometry-optimized K2Rb4Sb structure, computed with PBE.

a = 7.137 Å, b = 7.137 Å, c = 12.432 Å
α = 106.68°, β = 106.68°, γ = 90.00°
Element x y z (fractional)
Rb  0.000  0.500  0.000
Rb  0.155  0.155  0.311
Rb  0.845  0.845  0.689
Rb  0.500  0.000  0.000
Sb  0.000  0.000  0.000
K  0.649  0.649  0.297
K  0.351  0.351  0.703

---

[12]
A geometry-optimized KRb2Sb2 structure, computed with PBE.

a = 9.148 Å, b = 9.148 Å, c = 5.502 Å
α = 90.00°, β = 90.00°, γ = 90.00°
Element x y z (fractional)
Sb  0.890  0.610  0.000
Sb  0.390  0.890  0.000
Sb  0.610  0.110  0.000
Sb  0.110  0.390  0.000
Rb  0.672  0.828  0.500
Rb  0.172  0.672  0.500
Rb  0.328  0.172  0.500
Rb  0.828  0.328  0.500
K  0.500  0.500  0.000
K  0.000  0.000  0.000

Energy relative to the lowest polymorph listed for this composition, eV per formula unit: 0.074

---

[13]
A geometry-optimized KRbSb structure, computed with PBE.

a = 6.090 Å, b = 6.090 Å, c = 6.090 Å
α = 60.00°, β = 60.00°, γ = 60.00°
Element x y z (fractional)
Rb  0.000  0.000  0.000
Sb  0.250  0.250  0.250
K  0.500  0.500  0.500

Energy relative to the lowest polymorph listed for this composition, eV per formula unit: 0.460

---

[14]
A geometry-optimized K4Rb3Sb2 structure, computed with PBE.

a = 6.075 Å, b = 6.099 Å, c = 12.625 Å
α = 89.68°, β = 89.99°, γ = 60.12°
Element x y z (fractional)
Rb  0.000  0.000  0.000
Rb  0.667  0.665  0.591
Rb  0.333  0.335  0.409
Sb  0.667  0.666  0.202
Sb  0.333  0.334  0.798
K  0.666  0.667  0.897
K  0.000  0.000  0.290
K  0.334  0.333  0.103
K  0.000  0.000  0.710

---

[15]
A geometry-optimized K4RbSb2 structure, computed with PBE.

a = 6.162 Å, b = 6.162 Å, c = 12.339 Å
α = 75.54°, β = 75.54°, γ = 60.00°
Element x y z (fractional)
K  0.578  0.578  0.266
K  0.201  0.201  0.397
K  0.799  0.799  0.603
K  0.422  0.422  0.734
Sb  0.900  0.900  0.300
Sb  0.100  0.100  0.700
Rb  0.000  0.000  0.000

---

[16]
A geometry-optimized KRbSb2 structure, computed with PBE.

a = 5.946 Å, b = 5.946 Å, c = 5.946 Å
α = 60.00°, β = 60.00°, γ = 60.00°
Element x y z (fractional)
K  0.000  0.000  0.000
Rb  0.500  0.500  0.500
Sb  0.250  0.250  0.250
Sb  0.750  0.750  0.750

---

[17]
A geometry-optimized KRb4Sb4 structure, computed with PBE.

a = 7.400 Å, b = 11.235 Å, c = 11.235 Å
α = 90.00°, β = 90.00°, γ = 90.00°
Element x y z (fractional)
K  0.500  0.500  0.500
K  0.000  0.000  0.000
Rb  0.850  0.588  0.817
Rb  0.150  0.817  0.412
Rb  0.150  0.183  0.588
Rb  0.350  0.683  0.088
Rb  0.350  0.317  0.912
Rb  0.650  0.088  0.317
Rb  0.850  0.412  0.183
Rb  0.650  0.912  0.683
Sb  0.157  0.144  0.258
Sb  0.843  0.258  0.856
Sb  0.157  0.856  0.742
Sb  0.843  0.742  0.144
Sb  0.657  0.242  0.644
Sb  0.343  0.356  0.242
Sb  0.343  0.644  0.758
Sb  0.657  0.758  0.356

---

[18]
A geometry-optimized KRbSb3 structure, computed with PBE.

a = 6.766 Å, b = 6.766 Å, c = 13.376 Å
α = 75.35°, β = 75.35°, γ = 60.00°
Element x y z (fractional)
K  0.215  0.215  0.356
K  0.715  0.715  0.856
Sb  0.228  0.802  0.741
Sb  0.802  0.229  0.741
Sb  0.302  0.728  0.241
Sb  0.729  0.302  0.241
Sb  0.229  0.228  0.741
Sb  0.728  0.729  0.241
Rb  0.497  0.497  0.508
Rb  0.997  0.997  0.008

Energy relative to the lowest polymorph listed for this composition, eV per formula unit: 0.000

---

[19]
A geometry-optimized K2Rb2Sb structure, computed with PBE.

a = 9.037 Å, b = 9.037 Å, c = 6.785 Å
α = 90.00°, β = 90.00°, γ = 90.00°
Element x y z (fractional)
K  0.349  0.849  0.000
K  0.849  0.651  0.000
K  0.151  0.349  0.000
K  0.651  0.151  0.000
Rb  0.296  0.204  0.500
Rb  0.204  0.704  0.500
Rb  0.796  0.296  0.500
Rb  0.704  0.796  0.500
Sb  0.500  0.500  0.000
Sb  0.000  0.000  0.000

Energy relative to the lowest polymorph listed for this composition, eV per formula unit: 0.522

---

[20]
A geometry-optimized K12Rb6Sb structure, computed with PBE.

a = 11.487 Å, b = 11.487 Å, c = 11.487 Å
α = 86.62°, β = 86.62°, γ = 86.62°
Element x y z (fractional)
Rb  0.243  0.243  0.556
Rb  0.556  0.243  0.243
Rb  0.444  0.757  0.757
Rb  0.757  0.757  0.444
Rb  0.757  0.444  0.757
Rb  0.243  0.556  0.243
K  0.294  0.001  0.009
K  0.991  0.706  0.999
K  0.375  0.890  0.383
K  0.617  0.625  0.110
K  0.009  0.294  0.001
K  0.706  0.999  0.991
K  0.999  0.991  0.706
K  0.383  0.375  0.890
K  0.110  0.617  0.625
K  0.001  0.009  0.294
K  0.625  0.110  0.617
K  0.890  0.383  0.375
Sb  0.000  0.000  0.000

---

no.,formation energy (no corrections) (meV per atom)
1,831.6
2,-55.2
3,-206.0
4,-351.5
5,-239.3
6,-278.2
7,-204.2
8,657.0
9,-359.1
10,-378.8
11,-66.3
12,-344.4
13,-225.4
14,-271.5
15,-298.3
16,-13.4
17,-278.3
18,-132.4
19,-135.0
20,-13.6